Material: La2Zn3Ge4Ir
Method: DFT, PBE
State: relaxed

DFT formation energy (eV/atom): -0.509
DFT total energy (eV per atom): -4.6100
Space-group type: P-4m2 (115)

Lattice parameters (Å, degrees): 4.3622 4.3622 10.4075 90.00 90.00 90.00
With the nearest neighbours (Å) after each atom.
Fractional coordinates of all 10 atoms:
Ir 0.5000 0.5000 0.5000  4 Ge 2.54
Zn 0.0000 0.5000 0.1349  5 Ge 2.49-2.59
Ge 0.5000 0.5000 0.0000  4 Zn 2.59
La 0.0000 0.5000 0.7436  8 Ge 3.32-3.45, 6 Zn 3.33-3.34, 2 Ir 3.34
Ge 0.0000 0.0000 0.0000  4 Zn 2.59
Zn 0.5000 0.0000 0.8651  5 Ge 2.49-2.59
Ge 0.0000 0.5000 0.3742  3 Zn 2.49-2.54, 2 Ir 2.54
Zn 0.0000 0.0000 0.5000  4 Ge 2.54
Ge 0.5000 0.0000 0.6258  3 Zn 2.49-2.54, 2 Ir 2.54
La 0.5000 0.0000 0.2564  8 Ge 3.32-3.45, 6 Zn 3.33-3.34, 2 Ir 3.34